This record from Alexandria via LeMat-Bulk describes a relaxed Rb4BrCl2 crystal. The functional is PBE-GGA.

The structure belongs to space group R-3m (No. 166, hexagonal axes); the cell edges are 4.8247, 4.8247 and 48.5977 Å and the angles 90.00°, 90.00° and 120.00°. The asymmetric unit holds Rb at (0.0000, 0.0000, 0.1219), Rb at (0.0000, 0.0000, 0.2905), Br at (0.0000, 0.0000, 0.0000) and Cl at (0.0000, 0.0000, 0.4156).

Its excess energy over the best structure of this formula in the dataset is 0.00 eV/f.u. Its energy relative to the elements, uncorrected is -1585 meV/atom.


This record from Alexandria via LeMat-Bulk describes a relaxed Tm6Mg5Cd crystal. The functional is PBE-GGA.

The structure belongs to space group Cmmm (No. 65); the cell edges are 5.307, 15.951 and 7.421 Å and the angles 90.00°, 90.00° and 90.00°. The asymmetric unit holds Tm at (0.000, 0.000, 0.248), Tm at (0.000, 0.334, 0.250), Mg at (0.000, 0.167, 0.500), Mg at (0.000, 0.170, 0.000), Mg at (0.000, 0.500, 0.500) and Cd at (0.000, 0.500, 0.000).

As for the formation energy: -101 meV per atom.


This record from Alexandria via LeMat-Bulk describes a relaxed SbAsBr2 crystal. The functional is PBE-GGA.

The structure belongs to space group R-3m (No. 166, hexagonal axes); the cell edges are 3.4665, 3.4665 and 30.5881 Å and the angles 90.00°, 90.00° and 120.00°. The asymmetric unit holds Sb at (0.0000, 0.0000, 0.0000), As at (0.0000, 0.0000, 0.5000) and Br at (0.0000, 0.0000, 0.0924).

Its excess energy over the best structure of this formula in the dataset is 1.97 eV/f.u. Its energy relative to the elements, uncorrected is 223 meV/atom.


This record from Alexandria via LeMat-Bulk describes a relaxed Ca2Ni3P4Rh crystal. The functional is PBE-GGA.

The structure belongs to space group P-4m2 (No. 115); the cell edges are 4.018, 4.018 and 9.314 Å and the angles 90.00°, 90.00° and 90.00°. The asymmetric unit holds Ca at (0.000, 0.500, 0.241), Ni at (0.000, 0.500, 0.883), Ni at (0.500, 0.500, 0.500), P at (0.000, 0.000, 0.000), P at (0.000, 0.500, 0.639), P at (0.500, 0.500, 0.000) and Rh at (0.000, 0.000, 0.500).

As for the formation energy: -832 meV per atom.